Record 1
DFT (GGA-PBE) results for an optimized crystal structure of RbHoZnS3.

Values from the calculation:
The crystal system is monoclinic. The energy relative to the elements, uncorrected comes out at -144 kJ per mole of atoms.

abc: 9.0298 4.0009 9.6753
angles: 90.00 109.53 90.00
Space group P2_1/m (No. 11)
One atom of each set of equivalent atoms:
Rb  0.2112  0.2500  0.2361
Ho  0.3325  0.7500  0.8602
Zn  0.0837  0.2500  0.6095
S  0.1210  0.2500  0.8565
S  0.1927  0.7500  0.5411
S  0.4681  0.7500  0.1527


Record 2
DFT (GGA-PBE) results for an optimized crystal structure of Rb2MnRhBr6.

Values from the calculation:
The crystal system is tetragonal. The energy relative to the elements, uncorrected comes out at -91 kJ per mole of atoms.

abc: 7.4680 7.4680 10.5487
angles: 90.00 90.00 90.00
Space group I4/mmm (No. 139)
One atom of each set of equivalent atoms:
Rb  0.0000  0.5000  0.2500
Mn  0.0000  0.0000  0.0000
Rh  0.0000  0.0000  0.5000
Br  0.0000  0.0000  0.2531
Br  0.2474  0.2474  0.5000